Compound: Ac2Pm9Er
Source: Alexandria
Functional: PBE
Structure: optimized geometry

a = 5.2226 Å, b = 5.2226 Å, c = 15.6506 Å
α = 90.00°, β = 90.00°, γ = 90.00°
Space group P4/mmm (No. 123)
Unique sites:
1 Ac 0.0000 0.0000 0.1695 (multiplicity 2)
2 Pm 0.0000 0.5000 0.0000 (multiplicity 2)
3 Pm 0.0000 0.5000 0.3402 (multiplicity 4)
4 Pm 0.5000 0.5000 0.1702 (multiplicity 2)
5 Pm 0.5000 0.5000 0.5000 (multiplicity 1)
6 Er 0.0000 0.0000 0.5000 (multiplicity 1)

Computed properties:
N(E_F) = 1.71 states/eV per atom

***

Compound: Ac12Pm3Er5
Source: Alexandria
Functional: PBE
Structure: optimized geometry

a = 20.1893 Å, b = 20.1893 Å, c = 20.1893 Å
α = 90.00°, β = 90.00°, γ = 90.00°
Space group Ia-3d (No. 230)
Unique sites:
1 Ac 0.0140 0.0818 0.6455 (multiplicity 96)
2 Pm 0.0000 0.2500 0.1250 (multiplicity 24)
3 Er 0.0000 0.0000 0.0000 (multiplicity 16)
4 Er 0.0000 0.2500 0.3750 (multiplicity 24)

Computed properties:
N(E_F) = 1.96 states/eV per atom

***

Compound: Ac3Pm4Er
Source: Alexandria
Functional: PBE
Structure: optimized geometry

a = 5.3314 Å, b = 10.6148 Å, c = 10.6279 Å
α = 90.00°, β = 90.00°, γ = 90.00°
Space group Pmmn (No. 59, origin choice 2)
Unique sites:
1 Ac 0.2500 0.0048 0.1322 (multiplicity 4)
2 Ac 0.2500 0.2500 0.8679 (multiplicity 2)
3 Pm 0.2500 0.2500 0.3803 (multiplicity 2)
4 Pm 0.2500 0.5047 0.6175 (multiplicity 4)
5 Pm 0.2500 0.7500 0.3850 (multiplicity 2)
6 Er 0.2500 0.7500 0.8632 (multiplicity 2)

Computed properties:
N(E_F) = 1.63 states/eV per atom

***

Compound: AcPm10Er6
Source: Alexandria
Functional: PBE
Structure: optimized geometry

a = 9.8491 Å, b = 9.8491 Å, c = 6.9250 Å
α = 90.00°, β = 90.00°, γ = 120.00°
Space group P-31m (No. 162)
Unique sites:
1 Ac 0.0000 0.0000 0.0000 (multiplicity 1)
2 Pm 0.0000 0.2835 0.3269 (multiplicity 6)
3 Pm 0.3333 0.6667 0.0000 (multiplicity 2)
4 Pm 0.3333 0.6667 0.5000 (multiplicity 2)
5 Er 0.0000 0.3703 0.8142 (multiplicity 6)

Computed properties:
N(E_F) = 1.60 states/eV per atom

***

Compound: Ac12Pm3Er
Source: Alexandria
Functional: PBE
Structure: optimized geometry

a = 5.5143 Å, b = 5.5143 Å, c = 22.0113 Å
α = 90.00°, β = 90.00°, γ = 90.00°
Space group P4/mmm (No. 123)
Unique sites:
1 Ac 0.0000 0.0000 0.0000 (multiplicity 1)
2 Ac 0.0000 0.0000 0.2490 (multiplicity 2)
3 Ac 0.0000 0.0000 0.5000 (multiplicity 1)
4 Ac 0.0000 0.5000 0.1236 (multiplicity 4)
5 Ac 0.0000 0.5000 0.3744 (multiplicity 4)
6 Pm 0.5000 0.5000 0.2488 (multiplicity 2)
7 Pm 0.5000 0.5000 0.5000 (multiplicity 1)
8 Er 0.5000 0.5000 0.0000 (multiplicity 1)

Computed properties:
N(E_F) = 1.61 states/eV per atom

***

Compound: Ac2Pm12Er5
Source: Alexandria
Functional: PBE
Structure: optimized geometry

a = 18.0593 Å, b = 11.7278 Å, c = 6.3192 Å
α = 90.00°, β = 100.80°, γ = 90.00°
Space group C2/m (No. 12)
Unique sites:
1 Ac 0.0000 0.2093 0.0000 (multiplicity 4)
2 Pm 0.0829 0.0000 0.3725 (multiplicity 4)
3 Pm 0.1031 0.2663 0.6124 (multiplicity 8)
4 Pm 0.1053 0.5000 0.0234 (multiplicity 4)
5 Pm 0.2068 0.2590 0.2176 (multiplicity 8)
6 Er 0.0000 0.5000 0.5000 (multiplicity 2)
7 Er 0.1761 0.0000 0.8955 (multiplicity 4)
8 Er 0.2178 0.5000 0.5623 (multiplicity 4)

Computed properties:
E above lowest polymorph = 0.000 eV/atom
N(E_F) = 1.39 states/eV per atom

***

Compound: AcPm2Er2
Source: Alexandria
Functional: PBE
Structure: optimized geometry

a = 3.6521 Å, b = 5.7426 Å, c = 16.5757 Å
α = 90.00°, β = 90.00°, γ = 90.00°
Space group Immm (No. 71)
Unique sites:
1 Ac 0.0000 0.0000 0.0000 (multiplicity 2)
2 Pm 0.0000 0.0000 0.3991 (multiplicity 4)
3 Er 0.0000 0.5000 0.2836 (multiplicity 4)

Computed properties:
E above lowest polymorph = 0.000 eV/atom
N(E_F) = 1.37 states/eV per atom

***

Compound: AcPm5Er2
Source: Alexandria
Functional: PBE
Structure: optimized geometry

a = 7.3177 Å, b = 14.6393 Å, c = 5.1477 Å
α = 90.00°, β = 90.00°, γ = 90.00°
Space group Pbam (No. 55)
Unique sites:
1 Ac 0.0000 0.0000 0.0000 (multiplicity 2)
2 Pm 0.0000 0.5000 0.0000 (multiplicity 2)
3 Pm 0.0021 0.2524 0.0000 (multiplicity 4)
4 Pm 0.2453 0.6274 0.5000 (multiplicity 4)
5 Er 0.2490 0.3726 0.5000 (multiplicity 4)

Computed properties:
E above lowest polymorph = 0.000 eV/atom
N(E_F) = 1.41 states/eV per atom

***

Compound: AcPmEr
Source: Alexandria
Functional: PBE
Structure: optimized geometry

a = 3.7568 Å, b = 3.7568 Å, c = 15.4747 Å
α = 90.00°, β = 90.00°, γ = 90.00°
Space group I4mm (No. 107)
Unique sites:
1 Ac 0.0000 0.0000 0.0000 (multiplicity 2)
2 Pm 0.0000 0.0000 0.6753 (multiplicity 2)
3 Er 0.0000 0.0000 0.3298 (multiplicity 2)

Computed properties:
E above lowest polymorph = 0.000 eV/atom
N(E_F) = 1.51 states/eV per atom

***

Compound: Ac2Pm4Er3
Source: Alexandria
Functional: PBE
Structure: optimized geometry

a = 6.3284 Å, b = 12.4368 Å, c = 16.4710 Å
α = 90.00°, β = 90.00°, γ = 90.00°
Space group Fmmm (No. 69)
Unique sites:
1 Ac 0.0000 0.0000 0.1166 (multiplicity 8)
2 Pm 0.0000 0.1473 0.3138 (multiplicity 16)
3 Er 0.0000 0.0000 0.5000 (multiplicity 4)
4 Er 0.2500 0.2500 0.0000 (multiplicity 8)

Computed properties:
N(E_F) = 1.89 states/eV per atom

***

Compound: AcPm3Er7
Source: Alexandria
Functional: PBE
Structure: optimized geometry

a = 5.9781 Å, b = 11.1013 Å, c = 11.3109 Å
α = 90.00°, β = 90.00°, γ = 90.00°
Space group Immm (No. 71)
Unique sites:
1 Ac 0.0000 0.0000 0.0000 (multiplicity 2)
2 Pm 0.0000 0.2141 0.5000 (multiplicity 4)
3 Pm 0.0000 0.5000 0.0000 (multiplicity 2)
4 Er 0.0000 0.0000 0.3048 (multiplicity 4)
5 Er 0.0000 0.3117 0.2164 (multiplicity 8)
6 Er 0.0000 0.5000 0.5000 (multiplicity 2)

Computed properties:
N(E_F) = 1.51 states/eV per atom

***

Compound: AcPm15Er4
Source: Alexandria
Functional: PBE
Structure: optimized geometry

a = 5.1488 Å, b = 5.1488 Å, c = 25.6870 Å
α = 90.00°, β = 90.00°, γ = 90.00°
Space group P4/mmm (No. 123)
Unique sites:
1 Ac 0.0000 0.0000 0.0000 (multiplicity 1)
2 Pm 0.0000 0.5000 0.1053 (multiplicity 4)
3 Pm 0.0000 0.5000 0.3027 (multiplicity 4)
4 Pm 0.0000 0.5000 0.5000 (multiplicity 2)
5 Pm 0.5000 0.5000 0.0000 (multiplicity 1)
6 Pm 0.5000 0.5000 0.2051 (multiplicity 2)
7 Pm 0.5000 0.5000 0.4014 (multiplicity 2)
8 Er 0.0000 0.0000 0.2039 (multiplicity 2)
9 Er 0.0000 0.0000 0.4014 (multiplicity 2)

Computed properties:
N(E_F) = 1.42 states/eV per atom

***

Compound: AcPm14Er
Source: Alexandria
Functional: PBE
Structure: optimized geometry

a = 11.8441 Å, b = 7.3861 Å, c = 12.8214 Å
α = 90.00°, β = 90.00°, γ = 90.00°
Space group Amm2 (No. 38)
Unique sites:
1 Ac 0.0000 0.0000 0.0000 (multiplicity 2)
2 Pm 0.0000 0.2477 0.7514 (multiplicity 4)
3 Pm 0.2478 0.0000 0.3351 (multiplicity 4)
4 Pm 0.2513 0.2485 0.5857 (multiplicity 8)
5 Pm 0.2541 0.0000 0.8342 (multiplicity 4)
6 Pm 0.5000 0.0000 0.0019 (multiplicity 2)
7 Pm 0.5000 0.0000 0.5011 (multiplicity 2)
8 Pm 0.5000 0.2493 0.2512 (multiplicity 4)
9 Er 0.0000 0.0000 0.5024 (multiplicity 2)

Computed properties:
N(E_F) = 1.85 states/eV per atom

***

Compound: AcPm2Er
Source: Alexandria
Functional: PBE
Structure: optimized geometry

a = 8.3329 Å, b = 8.3329 Å, c = 8.3329 Å
α = 90.00°, β = 90.00°, γ = 90.00°
Space group Fm-3m (No. 225)
Unique sites:
1 Ac 0.0000 0.0000 0.0000 (multiplicity 4)
2 Pm 0.2500 0.2500 0.2500 (multiplicity 8)
3 Er 0.0000 0.0000 0.5000 (multiplicity 4)

Computed properties:
E above lowest polymorph = 0.130 eV/atom
N(E_F) = 2.59 states/eV per atom

***

Compound: Ac6PmEr
Source: Alexandria
Functional: PBE
Structure: optimized geometry

a = 17.6863 Å, b = 6.3447 Å, c = 6.4306 Å
α = 90.00°, β = 111.28°, γ = 90.00°
Space group C2/m (No. 12)
Unique sites:
1 Ac 0.1170 0.0000 0.0874 (multiplicity 4)
2 Ac 0.1167 0.5000 0.6441 (multiplicity 4)
3 Ac 0.2489 0.0000 0.7091 (multiplicity 4)
4 Pm 0.0000 0.5000 0.0000 (multiplicity 2)
5 Er 0.0000 0.0000 0.5000 (multiplicity 2)

Computed properties:
N(E_F) = 1.76 states/eV per atom

***

Compound: Ac2Pm3Er3
Source: Alexandria
Functional: PBE
Structure: optimized geometry

a = 3.8005 Å, b = 17.6081 Å, c = 17.4668 Å
α = 90.00°, β = 90.00°, γ = 90.00°
Space group Cmcm (No. 63)
Unique sites:
1 Ac 0.0000 0.2481 0.1072 (multiplicity 8)
2 Pm 0.0000 0.0928 0.5411 (multiplicity 8)
3 Pm 0.0000 0.1132 0.2500 (multiplicity 4)
4 Er 0.0000 0.0884 0.7500 (multiplicity 4)
5 Er 0.0000 0.4571 0.6178 (multiplicity 8)

Computed properties:
N(E_F) = 1.22 states/eV per atom

***

Compound: AcPm12Er6
Source: Alexandria
Functional: PBE
Structure: optimized geometry

a = 13.4838 Å, b = 13.4838 Å, c = 12.6469 Å
α = 90.00°, β = 90.00°, γ = 120.00°
Space group R-3m (No. 166, hexagonal axes)
Unique sites:
1 Ac 0.0000 0.0000 0.0000 (multiplicity 3)
2 Pm 0.0000 0.2587 0.5000 (multiplicity 18)
3 Pm 0.0914 0.1829 0.2627 (multiplicity 18)
4 Er 0.0358 0.5179 0.6217 (multiplicity 18)

Computed properties:
N(E_F) = 1.90 states/eV per atom

***

Number 1: calculated formation energy 0.37 eV per formula unit. Number 2: calculated formation energy 19.17 eV per formula unit. Number 3: calculated formation energy 0.35 eV per formula unit. Number 4: calculated formation energy 2.34 eV per formula unit. Number 5: calculated formation energy 0.47 eV per formula unit. Number 6: calculated formation energy 2.20 eV per formula unit. Number 7: calculated formation energy 0.18 eV per formula unit. Number 8: calculated formation energy 0.21 eV per formula unit. Number 9: calculated formation energy 0.17 eV per formula unit. Number 10: calculated formation energy 1.49 eV per formula unit. Number 11: calculated formation energy 3.28 eV per formula unit. Number 12: calculated formation energy 0.42 eV per formula unit. Number 13: calculated formation energy 0.59 eV per formula unit. Number 14: calculated formation energy 0.68 eV per formula unit. Number 15: calculated formation energy 0.91 eV per formula unit. Number 16: calculated formation energy 1.24 eV per formula unit. Number 17: calculated formation energy 3.68 eV per formula unit.